Here is a geometry-optimized ZrCd2 structure from Alexandria. Energies are from PBE-GGA.

## Properties
The energy comes out at -3.575 eV per atom. The value obtained for the energy of formation from the pure elements is -0.116 eV/atom. The spin magnetization comes out at 0.0 μB per formula unit. As for the crystal system: tetragonal.

abc: 3.160 3.160 12.999
angles: 90.00 90.00 90.00
Space group I4/mmm (No. 139)
One atom of each set of equivalent atoms:
Zr  0.000  0.000  0.000 [2 per cell]
Cd  0.000  0.000  0.332 [4 per cell]

Here is a geometry-optimized Zr3Cd structure from Alexandria. Energies are from PBE-GGA.

## Properties
The energy comes out at -6.603 eV per atom. The value obtained for the energy of formation from the pure elements is 0.037 eV/atom. The spin magnetization comes out at 0.0 μB per formula unit. As for the crystal system: trigonal.

abc: 10.0627 10.0627 3.0515
angles: 90.00 90.00 120.00
Space group R-3m (No. 166, hexagonal axes)
One atom of each set of equivalent atoms:
Zr  0.0000  0.5000  0.0000 [9 per cell]
Cd  0.0000  0.0000  0.0000 [3 per cell]

Here is a geometry-optimized Zr5Cd4 structure from Alexandria. Energies are from PBE-GGA.

## Properties
The energy comes out at -5.198 eV per atom. The excess energy over the best structure of this formula in the dataset comes out at 0 meV per atom. The value obtained for the energy of formation from the pure elements is -0.042 eV/atom. The spin magnetization comes out at 1.0 μB per formula unit. As for the crystal system: tetragonal.

abc: 9.492 9.492 4.412
angles: 90.00 90.00 90.00
Space group I4/mmm (No. 139)
One atom of each set of equivalent atoms:
Zr  0.000  0.000  0.000 [2 per cell]
Zr  0.165  0.165  0.500 [8 per cell]
Cd  0.000  0.337  0.000 [8 per cell]

Here is a geometry-optimized Zr2Cd7 structure from Alexandria. Energies are from PBE-GGA.

## Properties
The energy comes out at -2.611 eV per atom. The value obtained for the energy of formation from the pure elements is 0.001 eV/atom. The spin magnetization comes out at 0.0 μB per formula unit. As for the crystal system: trigonal.

abc: 5.5407 5.5407 7.5546
angles: 90.00 90.00 120.00
Space group P-31m (No. 162)
One atom of each set of equivalent atoms:
Zr  0.3333  0.6667  0.0000 [2 per cell]
Cd  0.0000  0.0000  0.0000 [1 per cell]
Cd  0.0000  0.3315  0.6686 [6 per cell]

Here is a geometry-optimized Zr3Cd structure from Alexandria. Energies are from PBE-GGA.

## Properties
The energy comes out at -6.646 eV per atom. The value obtained for the energy of formation from the pure elements is -0.006 eV/atom. The spin magnetization comes out at 0.0 μB per formula unit. As for the crystal system: orthorhombic.

abc: 3.129 5.263 5.497
angles: 90.00 90.00 90.00
Space group Pmm2 (No. 25)
One atom of each set of equivalent atoms:
Zr  0.000  0.000  0.000 [1 per cell]
Zr  0.000  0.500  0.352 [1 per cell]
Zr  0.500  0.500  0.857 [1 per cell]
Cd  0.500  0.000  0.510 [1 per cell]

Here is a geometry-optimized Zr2Cd structure from Alexandria. Energies are from PBE-GGA.

## Properties
The energy comes out at -5.991 eV per atom. The value obtained for the energy of formation from the pure elements is 0.013 eV/atom. The spin magnetization comes out at 0.0 μB per formula unit. As for the crystal system: orthorhombic.

abc: 3.223 16.441 5.192
angles: 90.00 90.00 90.00
Space group Cmcm (No. 63)
One atom of each set of equivalent atoms:
Zr  0.000  0.058  0.250 [4 per cell]
Zr  0.000  0.395  0.250 [4 per cell]
Cd  0.000  0.276  0.750 [4 per cell]

Here is a geometry-optimized ZrCd structure from Alexandria. Energies are from PBE-GGA.

## Properties
The energy comes out at -4.822 eV per atom. The value obtained for the energy of formation from the pure elements is -0.090 eV/atom. The spin magnetization comes out at 0.0 μB per formula unit. As for the crystal system: monoclinic.

abc: 13.010 3.202 6.618
angles: 90.00 104.69 90.00
Space group Cm (No. 8)
One atom of each set of equivalent atoms:
Zr  0.000  0.000  0.000 [2 per cell]
Zr  0.008  0.000  0.520 [2 per cell]
Zr  0.170  0.500  0.847 [2 per cell]
Cd  0.167  0.500  0.336 [2 per cell]
Cd  0.330  0.000  0.664 [2 per cell]
Cd  0.337  0.000  0.186 [2 per cell]

Here is a geometry-optimized Zr4Cd structure from Alexandria. Energies are from PBE-GGA.

## Properties
The energy comes out at -6.971 eV per atom. The excess energy over the best structure of this formula in the dataset comes out at 110 meV per atom. The value obtained for the energy of formation from the pure elements is 0.051 eV/atom. The spin magnetization comes out at 0.0 μB per formula unit. As for the crystal system: orthorhombic.

abc: 4.884 6.221 14.812
angles: 90.00 90.00 90.00
Space group Imma (No. 74)
One atom of each set of equivalent atoms:
Zr  0.000  0.000  0.000 [4 per cell]
Zr  0.000  0.004  0.202 [8 per cell]
Zr  0.000  0.250  0.398 [4 per cell]
Cd  0.000  0.250  0.608 [4 per cell]

Here is a geometry-optimized ZrCd structure from Alexandria. Energies are from PBE-GGA.

## Properties
The energy comes out at -4.708 eV per atom. The value obtained for the energy of formation from the pure elements is 0.024 eV/atom. The spin magnetization comes out at 0.0 μB per formula unit. As for the crystal system: orthorhombic.

abc: 3.128 5.025 5.664
angles: 90.00 90.00 90.00
Space group Pmmn (No. 59, origin choice 2)
One atom of each set of equivalent atoms:
Zr  0.250  0.250  0.060 [2 per cell]
Cd  0.250  0.750  0.423 [2 per cell]

Here is a geometry-optimized ZrCd structure from Alexandria. Energies are from PBE-GGA.

## Properties
The energy comes out at -4.476 eV per atom. The value obtained for the energy of formation from the pure elements is 0.256 eV/atom. The spin magnetization comes out at 0.0 μB per formula unit. As for the crystal system: hexagonal.

abc: 4.8345 4.8345 9.2698
angles: 90.00 90.00 120.00
Space group P6_3/mmc (No. 194)
One atom of each set of equivalent atoms:
Zr  0.3333  0.6667  0.0941 [4 per cell]
Cd  0.0000  0.0000  0.2500 [2 per cell]
Cd  0.3333  0.6667  0.7500 [2 per cell]

Here is a geometry-optimized Zr3Cd structure from Alexandria. Energies are from PBE-GGA.

## Properties
The energy comes out at -6.713 eV per atom. The value obtained for the energy of formation from the pure elements is -0.073 eV/atom. The spin magnetization comes out at 0.0 μB per formula unit. As for the crystal system: tetragonal.

abc: 4.402 4.402 9.208
angles: 90.00 90.00 90.00
Space group I4/mmm (No. 139)
One atom of each set of equivalent atoms:
Zr  0.000  0.000  0.000 [2 per cell]
Zr  0.000  0.500  0.250 [4 per cell]
Cd  0.000  0.000  0.500 [2 per cell]

Here is a geometry-optimized ZrCd structure from Alexandria. Energies are from PBE-GGA.

## Properties
The energy comes out at -4.625 eV per atom. The value obtained for the energy of formation from the pure elements is 0.106 eV/atom. The spin magnetization comes out at 0.0 μB per formula unit. As for the crystal system: hexagonal.

abc: 8.2218 8.2218 4.9119
angles: 90.00 90.00 120.00
Space group P6_3/m (No. 176)
One atom of each set of equivalent atoms:
Zr  0.0802  0.8221  0.2500 [6 per cell]
Cd  0.1042  0.6045  0.7500 [6 per cell]

Please write out number 3 again, unchanged.
Here is a geometry-optimized Zr5Cd4 structure from Alexandria. Energies are from PBE-GGA.

## Properties
The energy comes out at -5.198 eV per atom. The excess energy over the best structure of this formula in the dataset comes out at 0 meV per atom. The value obtained for the energy of formation from the pure elements is -0.042 eV/atom. The spin magnetization comes out at 1.0 μB per formula unit. As for the crystal system: tetragonal.

abc: 9.492 9.492 4.412
angles: 90.00 90.00 90.00
Space group I4/mmm (No. 139)
One atom of each set of equivalent atoms:
Zr  0.000  0.000  0.000 [2 per cell]
Zr  0.165  0.165  0.500 [8 per cell]
Cd  0.000  0.337  0.000 [8 per cell]

Copy entry 3 word for word.
Here is a geometry-optimized Zr5Cd4 structure from Alexandria. Energies are from PBE-GGA.

## Properties
The energy comes out at -5.198 eV per atom. The excess energy over the best structure of this formula in the dataset comes out at 0 meV per atom. The value obtained for the energy of formation from the pure elements is -0.042 eV/atom. The spin magnetization comes out at 1.0 μB per formula unit. As for the crystal system: tetragonal.

abc: 9.492 9.492 4.412
angles: 90.00 90.00 90.00
Space group I4/mmm (No. 139)
One atom of each set of equivalent atoms:
Zr  0.000  0.000  0.000 [2 per cell]
Zr  0.165  0.165  0.500 [8 per cell]
Cd  0.000  0.337  0.000 [8 per cell]